No. 1
Density functional theory data (PBE-GGA) for crystalline Y2InNi12B3 at its relaxed geometry.

## Properties
The volume is 244 Å³/f.u. Its formation energy from the elements is -0.077 eV/atom. The crystal system is trigonal.

Lattice parameters (Å, degrees): 6.9748 6.9748 17.3438 90.00 90.00 120.00
Space group R-3m (No. 166, hexagonal axes)
Unique sites:
1 Y 0.0000 0.0000 0.0936 [6 per cell]
2 In 0.0000 0.0000 0.5000 [3 per cell]
3 Ni 0.0704 0.5352 0.3073 [18 per cell]
4 Ni 0.0829 0.5414 0.8926 [18 per cell]
5 B 0.0000 0.5000 0.0000 [9 per cell]

No. 2
Density functional theory data (PBE-GGA) for crystalline Zn10PtAu4 at its relaxed geometry.

## Properties
The volume is 279 Å³/f.u. Its formation energy from the elements is -0.188 eV/atom. The crystal system is trigonal.

Lattice parameters (Å, degrees): 4.4595 4.4595 48.6114 90.00 90.00 120.00
Space group R-3m (No. 166, hexagonal axes)
Unique sites:
1 Zn 0.0000 0.0000 0.0461 [6 per cell]
2 Zn 0.0000 0.0000 0.1571 [6 per cell]
3 Zn 0.0000 0.0000 0.2448 [6 per cell]
4 Zn 0.0000 0.0000 0.3548 [6 per cell]
5 Zn 0.0000 0.0000 0.4475 [6 per cell]
6 Pt 0.0000 0.0000 0.5000 [3 per cell]
7 Au 0.0000 0.0000 0.1010 [6 per cell]
8 Au 0.0000 0.0000 0.2998 [6 per cell]

No. 3
Density functional theory data (PBE-GGA) for crystalline SrMgZnGe2 at its relaxed geometry.

## Properties
The volume is 111 Å³/f.u. Its formation energy from the elements is -0.412 eV/atom. The crystal system is tetragonal.

Lattice parameters (Å, degrees): 4.450 4.450 11.249 90.00 90.00 90.00
Space group I-4m2 (No. 119)
Unique sites:
1 Sr 0.000 0.000 0.000 [2 per cell]
2 Mg 0.000 0.500 0.750 [2 per cell]
3 Zn 0.000 0.500 0.250 [2 per cell]
4 Ge 0.000 0.000 0.385 [4 per cell]